Compound: Sr2YTaO6
Source: Alexandria via LeMat-Bulk
Functional: PBE
Structure: optimized geometry

Cell: 5.946 5.850 10.155 Å, 55.04 90.00 90.00°
Fractional coordinates of all 20 atoms:
O  0.274  0.352  0.454
Sr  0.038  0.259  0.251
O  0.803  0.268  0.459
O  0.525  0.817  0.766
O  0.226  0.352  0.954
O  0.975  0.817  0.266
Y  0.500  0.000  0.500
O  0.726  0.648  0.546
O  0.475  0.183  0.234
O  0.697  0.268  0.959
O  0.197  0.732  0.541
O  0.025  0.183  0.734
Ta  0.000  0.500  0.500
O  0.303  0.732  0.041
Sr  0.462  0.259  0.751
Sr  0.962  0.741  0.749
Sr  0.538  0.741  0.249
Ta  0.500  0.500  0.000
Y  0.000  0.000  0.000
O  0.774  0.648  0.046

Its total magnetization is 0.0000 μB per atom. The density of states at the Fermi level is 0.00 states/eV/cell.


Compound: SrTaZn2O6
Source: Alexandria via LeMat-Bulk
Functional: PBE
Structure: optimized geometry

Cell: 6.835 7.377 7.377 Å, 82.67 67.73 67.73°
Fractional coordinates of all 20 atoms:
O  0.492  0.829  0.366
Sr  0.750  0.197  0.803
O  0.887  0.297  0.449
O  0.301  0.171  0.069
Zn  0.858  0.626  0.712
O  0.699  0.829  0.931
Ta  0.750  0.838  0.162
Sr  0.250  0.803  0.197
Ta  0.250  0.162  0.838
Zn  0.142  0.374  0.288
Zn  0.358  0.712  0.626
O  0.508  0.171  0.634
O  0.387  0.449  0.297
O  0.008  0.634  0.171
O  0.613  0.551  0.703
O  0.992  0.366  0.829
O  0.801  0.069  0.171
O  0.199  0.931  0.829
O  0.113  0.703  0.551
Zn  0.642  0.288  0.374

Its total magnetization is 0.1063 μB per atom.


Compound: SrZrTaO6
Source: Alexandria via LeMat-Bulk
Functional: PBE
Structure: optimized geometry

Cell: 5.525 5.525 10.522 Å, 90.00 90.00 120.00°
Fractional coordinates of all 18 atoms:
Sr  0.000  0.000  0.000
Ta  0.667  0.333  0.250
O  0.618  0.633  0.645
O  0.382  0.367  0.355
Sr  0.000  0.000  0.500
O  0.984  0.367  0.145
O  0.367  0.382  0.855
Zr  0.667  0.333  0.750
O  0.016  0.633  0.855
O  0.633  0.618  0.145
Ta  0.333  0.667  0.750
O  0.382  0.016  0.145
O  0.016  0.382  0.645
O  0.367  0.984  0.645
O  0.633  0.016  0.355
Zr  0.333  0.667  0.250
O  0.618  0.984  0.855
O  0.984  0.618  0.355

Its total magnetization is 0.1201 μB per atom. The density of states at the Fermi level is 15.58 states/eV/cell.


Compound: SrTbO
Source: Alexandria via LeMat-Bulk
Functional: PBE
Structure: optimized geometry

Cell: 4.018 7.913 12.773 Å, 91.92 99.05 90.00°
Fractional coordinates of all 12 atoms:
Sr  0.075  0.358  0.150
Tb  0.708  0.620  0.416
Sr  0.568  0.855  0.136
Tb  0.292  0.380  0.584
O  0.250  0.126  0.500
Sr  0.925  0.642  0.850
O  0.751  0.376  0.501
O  0.249  0.624  0.499
Tb  0.291  0.879  0.583
Sr  0.432  0.145  0.864
Tb  0.709  0.121  0.417
O  0.750  0.874  0.500

Its total magnetization is 0.0006 μB per atom. The density of states at the Fermi level is 10.32 states/eV/cell.


Compound: SrTb2O4
Source: Alexandria via LeMat-Bulk
Functional: PBE
Structure: optimized geometry

Cell: 3.406 5.901 11.229 Å, 90.00 90.00 106.77°
Fractional coordinates of all 14 atoms:
Sr  0.388  0.776  0.250
O  0.500  0.000  0.000
Sr  0.612  0.224  0.750
O  0.236  0.473  0.609
Tb  0.133  0.266  0.427
O  0.044  0.088  0.250
O  0.236  0.473  0.891
O  0.500  0.000  0.500
Tb  0.867  0.734  0.573
Tb  0.133  0.266  0.073
O  0.764  0.527  0.391
O  0.956  0.912  0.750
Tb  0.867  0.734  0.927
O  0.764  0.527  0.109

The energy above the lowest structure with this stoichiometry is 27 meV/atom. Its total magnetization is 0.0000 μB per atom. The density of states at the Fermi level is 0.00 states/eV/cell.


Compound: SrTb2O4
Source: Alexandria via LeMat-Bulk
Functional: PBE
Structure: optimized geometry

Cell: 3.454 10.194 12.057 Å, 90.00 90.00 90.00°
Fractional coordinates of all 28 atoms:
O  0.750  0.515  0.784
Sr  0.250  0.747  0.149
O  0.750  0.626  0.020
O  0.250  0.985  0.284
O  0.250  0.289  0.676
Sr  0.250  0.247  0.351
Tb  0.750  0.923  0.389
O  0.750  0.425  0.422
O  0.250  0.575  0.578
Tb  0.250  0.577  0.889
O  0.750  0.925  0.078
Sr  0.750  0.253  0.851
O  0.750  0.711  0.324
O  0.750  0.015  0.716
O  0.250  0.485  0.216
Tb  0.250  0.077  0.611
Tb  0.750  0.922  0.888
Tb  0.250  0.078  0.112
Tb  0.750  0.422  0.612
Tb  0.750  0.423  0.111
O  0.250  0.075  0.922
O  0.250  0.374  0.980
Tb  0.250  0.578  0.388
Sr  0.750  0.753  0.649
O  0.750  0.211  0.176
O  0.250  0.874  0.520
O  0.250  0.789  0.824
O  0.750  0.126  0.480

The energy above the lowest structure with this stoichiometry is 0 meV/atom. Its total magnetization is 0.0000 μB per atom. The density of states at the Fermi level is 0.00 states/eV/cell.


Compound: Sr2TbO
Source: Alexandria via LeMat-Bulk
Functional: PBE
Structure: optimized geometry

Cell: 3.670 3.670 10.364 Å, 79.80 79.80 60.00°
Fractional coordinates of all 4 atoms:
Sr  0.117  0.117  0.649
Sr  0.883  0.883  0.351
O  0.500  0.500  0.500
Tb  0.000  0.000  0.000

Its total magnetization is 0.1780 μB per atom. The density of states at the Fermi level is 3.95 states/eV/cell.


Compound: Sr5TbO6
Source: Alexandria via LeMat-Bulk
Functional: PBE
Structure: optimized geometry

Cell: 6.283 6.289 6.289 Å, 60.00 80.41 70.53°
Fractional coordinates of all 12 atoms:
O  0.765  0.079  0.310
Sr  0.500  0.833  0.334
O  0.765  0.388  0.690
Tb  0.000  0.000  0.000
Sr  0.500  0.500  0.000
O  0.235  0.921  0.690
O  0.236  0.231  0.000
Sr  0.500  0.167  0.666
Sr  0.000  0.333  0.333
O  0.235  0.612  0.310
Sr  0.000  0.667  0.667
O  0.764  0.769  0.000

Its total magnetization is 0.0000 μB per atom. The density of states at the Fermi level is 1.89 states/eV/cell.


| no. | calculated total energy (eV/cell) |
| --- | --- |
| 1 | -166.37 |
| 2 | -132.04 |
| 3 | -154.40 |
| 4 | -67.82 |
| 5 | -107.64 |
| 6 | -216.04 |
| 7 | -17.17 |
| 8 | -75.66 |